1.
A relaxed structure of CrOsO3. Source: the Alexandria database, functional PBE+U.

N(E_F) in states/eV/atom: 0.8281
E in eV per cell: -31.915
Symmetry: Pm-3m

Cell: 3.7331 3.7331 3.7331 Å, 90.00 90.00 90.00°
Closest atoms and distances in Å follow each position.
Fractional positions:
Cr: 0.0000 0.0000 0.0000  6 O 1.87
Os: 0.5000 0.5000 0.5000  12 O 2.64
O: 0.0000 0.5000 0.0000  2 Cr 1.87
O: 0.0000 0.0000 0.5000  2 Cr 1.87
O: 0.5000 0.0000 0.0000  2 Cr 1.87

2.
A relaxed structure of CrOs2O. Source: the Alexandria database, functional PBE+U.

N(E_F) in states/eV/atom: 0.2755
E in eV per cell: -59.670
Symmetry: I-42d

Cell: 4.9980 4.9980 6.0756 Å, 65.71 65.71 90.00°
Closest atoms and distances in Å follow each position.
Fractional positions:
Cr: 0.0000 0.0000 0.0000  4 Os 2.32
Cr: 0.7500 0.2500 0.5000  4 Os 2.32
Os: 0.5719 0.1250 0.2500  2 O 2.01
Os: 0.1781 0.6250 0.2500  2 O 2.01
Os: 0.3750 0.4281 0.7500  2 O 2.01
Os: 0.8750 0.8219 0.7500  2 O 2.01
O: 0.5000 0.5000 0.0000  4 Os 2.01
O: 0.2500 0.7500 0.5000  4 Os 2.01

> The lowest N(E_F) belongs to which entry?

CrOs2O

Please write out number 2 again, unchanged.
A relaxed structure of CrOs2O. Source: the Alexandria database, functional PBE+U.

N(E_F) in states/eV/atom: 0.2755
E in eV per cell: -59.670
Symmetry: I-42d

Cell: 4.9980 4.9980 6.0756 Å, 65.71 65.71 90.00°
Closest atoms and distances in Å follow each position.
Fractional positions:
Cr: 0.0000 0.0000 0.0000  4 Os 2.32
Cr: 0.7500 0.2500 0.5000  4 Os 2.32
Os: 0.5719 0.1250 0.2500  2 O 2.01
Os: 0.1781 0.6250 0.2500  2 O 2.01
Os: 0.3750 0.4281 0.7500  2 O 2.01
Os: 0.8750 0.8219 0.7500  2 O 2.01
O: 0.5000 0.5000 0.0000  4 Os 2.01
O: 0.2500 0.7500 0.5000  4 Os 2.01

> Look up the E of the second one.

-59.670 eV per cell

> Among the records above, which one has the highest N(E_F)?

CrOsO3